(1)
# CdHgGeSe4, optimized geometry, DFT PBE-GGA
data_CdHgGeSe4
_symmetry_space_group_name_H-M 'I -4'
_symmetry_Int_Tables_number 82
_symmetry_space_group_name_Hall 'I -4'
_cell_length_a 5.801
_cell_length_b 5.801
_cell_length_c 11.594
_cell_angle_alpha 90.00
_cell_angle_beta 90.00
_cell_angle_gamma 90.00
loop_
_atom_site_label
_atom_site_type_symbol
_atom_site_fract_x
_atom_site_fract_y
_atom_site_fract_z
Cd1 Cd 0.000 0.000 0.000
Hg1 Hg 0.000 0.500 0.250
Ge1 Ge 0.000 0.000 0.500
Se1 Se 0.192 0.260 0.630
# electronic total energy	-44.5	eV for the cell shown

=====

(2)
# Tb2MgNi2, optimized geometry, DFT PBE-GGA
data_Tb2MgNi2
_symmetry_space_group_name_H-M 'P 4/m b m'
_symmetry_Int_Tables_number 127
_symmetry_space_group_name_Hall '-P 4 2ab'
_cell_length_a 7.323
_cell_length_b 7.323
_cell_length_c 3.748
_cell_angle_alpha 90.00
_cell_angle_beta 90.00
_cell_angle_gamma 90.00
loop_
_atom_site_label
_atom_site_type_symbol
_atom_site_fract_x
_atom_site_fract_y
_atom_site_fract_z
Tb1 Tb 0.173 0.327 0.000
Mg1 Mg 0.000 0.000 0.500
Ni1 Ni 0.121 0.621 0.500
# electronic total energy	-47.7	eV for the cell shown
# M_tot	0.000	μB per atom

=====

Q: electronic total energy of number 2 (Tb2MgNi2)?
A: -47.7 eV for the cell shown